Entry 1:
First-principles (PBE-GGA) data for a relaxed structure of Sc2TaCuBr, as listed in Alexandria via LeMat-Bulk.

As for the space group: P4/mmm (123). As for the energy relative to the elements, uncorrected: 0.98 eV per atom. As for the crystal system: tetragonal.

abc: 5.0157 5.0157 4.6042
angles: 90.00 90.00 90.00
Positions (direct):
Sc1 0.0000 0.5000 0.0000
Sc2 0.5000 0.0000 0.0000
Ta1 0.0000 0.0000 0.5000
Cu1 0.5000 0.5000 0.0000
Br1 0.5000 0.5000 0.5000

---

Entry 2:
First-principles (PBE-GGA) data for a relaxed structure of CaTiPb3, as listed in Alexandria via LeMat-Bulk.

As for the space group: Pm-3m (221). As for the crystal system: cubic. As for the excess energy over the best structure of this formula in the dataset: 0 meV/atom.

abc: 5.4342 5.4342 5.4342
angles: 90.00 90.00 90.00
Positions (direct):
Ca1 0.0000 0.0000 0.0000
Ti1 0.5000 0.5000 0.5000
Pb1 0.0000 0.5000 0.5000
Pb2 0.5000 0.0000 0.5000
Pb3 0.5000 0.5000 0.0000

---

Entry 3:
First-principles (PBE-GGA) data for a relaxed structure of ThBeSi2Rh2, as listed in Alexandria via LeMat-Bulk.

As for the space group: P4/mmm (123). As for the energy relative to the elements, uncorrected: -0.29 eV per atom. As for the crystal system: tetragonal.

abc: 4.2350 4.2350 5.5193
angles: 90.00 90.00 90.00
Positions (direct):
Th1 0.0000 0.0000 0.0000
Be1 0.0000 0.0000 0.5000
Si1 0.0000 0.5000 0.5000
Si2 0.5000 0.0000 0.5000
Rh1 0.5000 0.5000 0.2493
Rh2 0.5000 0.5000 0.7507

---

Entry 4:
First-principles (PBE-GGA) data for a relaxed structure of Sr2ThSi3Au12, as listed in Alexandria via LeMat-Bulk.

As for the space group: R-3m (166). As for the energy relative to the elements, uncorrected: -0.19 eV per atom. As for the crystal system: trigonal.

abc: 8.3254 8.3254 8.3254
angles: 64.42 64.42 64.42
Positions (direct):
Sr1 0.0964 0.0964 0.0964
Sr2 0.9036 0.9036 0.9036
Th1 0.5000 0.5000 0.5000
Si1 0.0000 0.5000 0.5000
Si2 0.5000 0.0000 0.5000
Si3 0.5000 0.5000 0.0000
Au1 0.0918 0.6426 0.6426
Au2 0.1893 0.1893 0.6391
Au3 0.1893 0.6391 0.1893
Au4 0.3574 0.3574 0.9082
Au5 0.3574 0.9082 0.3574
Au6 0.3609 0.8107 0.8107
Au7 0.6391 0.1893 0.1893
Au8 0.6426 0.0918 0.6426
Au9 0.6426 0.6426 0.0918
Au10 0.8107 0.3609 0.8107
Au11 0.8107 0.8107 0.3609
Au12 0.9082 0.3574 0.3574

---

Entry 5:
First-principles (PBE-GGA) data for a relaxed structure of Al13Ru4, as listed in Alexandria via LeMat-Bulk.

As for the space group: C2/m (12). As for the crystal system: monoclinic.

abc: 8.9649 8.9649 12.7918
angles: 105.71 105.71 54.48
Positions (direct):
Al1 0.0000 0.0000 0.0000
Al2 0.0184 0.0184 0.6704
Al3 0.0830 0.6516 0.6091
Al4 0.0867 0.6418 0.9804
Al5 0.0940 0.5342 0.3901
Al6 0.0996 0.5422 0.1644
Al7 0.1775 0.1775 0.2168
Al8 0.1897 0.1897 0.7264
Al9 0.2229 0.7583 0.8291
Al10 0.2417 0.7771 0.1709
Al11 0.2495 0.7505 0.5000
Al12 0.2607 0.2607 0.5438
Al13 0.2644 0.2644 0.9602
Al14 0.3484 0.9170 0.3909
Al15 0.3582 0.9133 0.0196
Al16 0.4178 0.4178 0.7141
Al17 0.4281 0.4281 0.9196
Al18 0.4324 0.4324 0.3253
Al19 0.4578 0.9004 0.8356
Al20 0.4658 0.9060 0.6099
Al21 0.5342 0.0940 0.3901
Al22 0.5422 0.0996 0.1644
Al23 0.5676 0.5676 0.6747
Al24 0.5719 0.5719 0.0804
Al25 0.5822 0.5822 0.2859
Al26 0.6418 0.0867 0.9804
Al27 0.6516 0.0830 0.6091
Al28 0.7356 0.7356 0.0398
Al29 0.7393 0.7393 0.4562
Al30 0.7505 0.2495 0.5000
Al31 0.7583 0.2229 0.8291
Al32 0.7771 0.2417 0.1709
Al33 0.8103 0.8103 0.2736
Al34 0.8225 0.8225 0.7832
Al35 0.9004 0.4578 0.8356
Al36 0.9060 0.4658 0.6099
Al37 0.9133 0.3582 0.0196
Al38 0.9170 0.3484 0.3909
Al39 0.9816 0.9816 0.3296
Ru1 0.0990 0.0990 0.8757
Ru2 0.0997 0.0997 0.5158
Ru3 0.1156 0.5225 0.7782
Ru4 0.4079 0.4079 0.5122
Ru5 0.4146 0.4146 0.1167
Ru6 0.4775 0.8844 0.2218
Ru7 0.5225 0.1156 0.7782
Ru8 0.5854 0.5854 0.8833
Ru9 0.5921 0.5921 0.4878
Ru10 0.8844 0.4775 0.2218
Ru11 0.9003 0.9003 0.4842
Ru12 0.9010 0.9010 0.1243

---

Entry 6:
First-principles (PBE-GGA) data for a relaxed structure of MnZnPd, as listed in Alexandria via LeMat-Bulk.

As for the space group: I4mm (107). As for the crystal system: tetragonal.

abc: 7.1184 7.1184 7.1184
angles: 158.35 158.35 30.80
Positions (direct):
Mn1 0.0000 0.0000 0.0000
Zn1 0.3635 0.3635 0.0000
Pd1 0.1808 0.1808 0.0000

---

Entry 7:
First-principles (PBE-GGA) data for a relaxed structure of Sn2PRu2, as listed in Alexandria via LeMat-Bulk.

As for the space group: I4/mmm (139). As for the crystal system: tetragonal. As for the excess energy over the best structure of this formula in the dataset: 318 meV/atom.

abc: 8.1613 8.1613 8.1613
angles: 154.83 154.83 35.90
Positions (direct):
Sn1 0.1039 0.1039 0.0000
Sn2 0.8961 0.8961 0.0000
P1 0.5000 0.5000 0.0000
Ru1 0.2500 0.7500 0.5000
Ru2 0.7500 0.2500 0.5000

---

Entry 8:
First-principles (PBE-GGA) data for a relaxed structure of SrOs3Pd, as listed in Alexandria via LeMat-Bulk.

As for the space group: Pm-3m (221). As for the crystal system: cubic. As for the excess energy over the best structure of this formula in the dataset: 1642 meV/atom.

abc: 4.7880 4.7880 4.7880
angles: 90.00 90.00 90.00
Positions (direct):
Sr1 0.0000 0.0000 0.0000
Os1 0.0000 0.0000 0.5000
Os2 0.0000 0.5000 0.0000
Os3 0.5000 0.0000 0.0000
Pd1 0.5000 0.5000 0.5000

---

Let's list total magnetic moment in order: 0.15; 0.00; 0.00; 0.00; 0.00; 1.20; 0.00; 0.67 μB per atom.
Let's list DFT total energy in order: -25.39; -21.11; -38.45; -69.72; -284.72; -14.66; -29.51; -22.20 eV for the cell shown.